Material: SnOs2CBr
Method: DFT, GGA-PBE
State: relaxed

Output
Symmetry = P4/mmm
Energy = -4.205 eV per atom
Formation energy (no corrections) = 3267 meV per atom

a b c (Å): 4.5275 5.7694 4.5275
angles (deg): 90.00 90.00 90.00
Last column: nearest neighbours and their distance in Å.
Element x y z (fractional)
1 Os 0.0000 0.0000 0.5000  2 Br 2.26
2 C 0.5000 0.5000 0.5000  4 Sn 3.20
3 Br 0.0000 0.0000 0.0000  4 Os 2.26
4 Os 0.5000 0.0000 0.0000  2 Br 2.26
5 Sn 0.0000 0.5000 0.0000  2 Br 2.88, 4 C 3.20